Crystalline Tc2BiO8 at its relaxed geometry. Source: the Alexandria database, functional PBE.

Results
polymorph energy (0 for the lowest one)	0.0000	eV per atom
crystal system	monoclinic
volume	20.9	Å³/atom

Geometry as CIF:
```
data_Tc2BiO8
_chemical_formula_sum 'Tc2 Bi1 O8'
_cell_length_a 5.688
_cell_length_b 6.392
_cell_length_c 6.392
_cell_angle_alpha 89.40
_cell_angle_beta 84.78
_cell_angle_gamma 84.78
_space_group_name_H-M_alt 'P 1'
_space_group_IT_number 1
loop_
_space_group_symop_operation_xyz
'x,y,z'
loop_
_atom_site_label
_atom_site_type_symbol
_atom_site_fract_x
_atom_site_fract_y
_atom_site_fract_z
Tc1 Tc 0.367 0.240 0.240
Tc2 Tc 0.633 0.760 0.760
Bi1 Bi 0.000 0.000 0.000
O1 O 0.774 0.705 0.998
O2 O 0.774 0.998 0.705
O3 O 0.226 0.295 0.002
O4 O 0.726 0.574 0.574
O5 O 0.226 0.002 0.295
O6 O 0.681 0.190 0.190
O7 O 0.319 0.810 0.810
O8 O 0.274 0.426 0.426
```